No. 1
HgPW2 | GGA-PBE | optimized geometry

Computed properties:
- Energy above the lowest structure with this stoichiometry: 557 meV per atom
- Symmetry: Pmmm

Geometry as extended XYZ:
```
4
Lattice="-2.294 -0.355 2.172 2.494 -3.134 2.122 1.960 3.330 2.615" Properties=species:S:1:pos:R:3 pbc="T T T"
Hg 0.100 -1.745 2.147
W -0.167 1.488 2.393
W 0.000 0.000 0.000
P 2.227 0.098 2.368
```

No. 2
YCrSe2 | GGA-PBE | optimized geometry

Computed properties:
- Energy above the lowest structure with this stoichiometry: 67 meV per atom
- Symmetry: R3m
- Formation energy from raw total energies: -95.0 kJ/mol of atoms

Geometry as extended XYZ:
```
4
Lattice="-0.455 -0.490 7.022 2.895 -2.251 6.026 2.738 1.651 6.288" Properties=species:S:1:pos:R:3 pbc="T T T"
Se 1.334 -0.281 4.980
Y 2.589 -0.545 9.668
Cr 3.460 -0.729 12.917
Se 0.386 -0.081 1.440
```

No. 3
PaZnGaAu | GGA-PBE | optimized geometry

Computed properties:
- Symmetry: F-43m

Geometry as extended XYZ:
```
4
Lattice="4.839 0.000 0.000 2.420 4.191 0.000 2.420 1.397 3.951" Properties=species:S:1:pos:R:3 pbc="T T T"
Ga 2.420 1.397 0.988
Au 7.259 4.191 2.963
Pa 0.000 0.000 0.000
Zn 4.839 2.794 1.976
```

No. 4
HfTiSi2 | GGA-PBE | optimized geometry

Computed properties:
- Energy above the lowest structure with this stoichiometry: 272 meV per atom
- Symmetry: R-3m
- Formation energy from raw total energies: -48.1 kJ/mol of atoms

Geometry as extended XYZ:
```
4
Lattice="3.755 0.000 0.000 1.878 3.252 0.000 1.878 1.084 5.816" Properties=species:S:1:pos:R:3 pbc="T T T"
Si 1.878 1.084 1.350
Si 5.633 3.252 4.466
Hf 3.755 2.168 2.908
Ti 0.000 0.000 0.000
```

No. 5
HoAlTl | GGA-PBE | optimized geometry

Computed properties:
- Energy above the lowest structure with this stoichiometry: 135 meV per atom
- Symmetry: I4mm

Geometry as extended XYZ:
```
3
Lattice="-0.043 -2.662 2.208 3.149 -0.942 -1.075 0.957 5.311 3.712" Properties=species:S:1:pos:R:3 pbc="T T T"
Al 2.145 -0.975 1.574
Tl 1.358 1.898 2.314
Ho 3.872 1.439 4.518
```

No. 6
Pm2Ga5Co | GGA-PBE | optimized geometry

Computed properties:
- Symmetry: P4/mmm

Geometry as extended XYZ:
```
8
Lattice="4.522 0.000 0.000 0.000 6.056 0.000 0.000 0.000 6.056" Properties=species:S:1:pos:R:3 pbc="T T T"
Pm 2.261 0.000 3.028
Ga 0.000 4.336 4.336
Ga 0.000 1.720 4.336
Ga 0.000 1.720 1.720
Co 0.000 0.000 0.000
Pm 2.261 3.028 0.000
Ga 2.261 0.000 0.000
Ga 0.000 4.336 1.720
```

Per-record N(E_F), states/eV/f.u.: 2.2 3.4 5.3 0.6 2.9 4.8
Per-record VASP energy, eV/cell: -28.16 -26.99 -18.01 -30.69 -11.05 -35.24